GaCoNiMo, relaxed, DFT PBE; total magnetization = 0.243 μB per formula unit; V = 12.84 Å³/atom; DFT formation energy = -0.2 eV per formula unit
1.0
4.172 0.000 0.000
2.086 3.613 0.000
2.086 1.204 3.407
Ni Mo Co Ga
1 1 1 1
Direct
0.250 0.250 0.250
0.000 0.000 0.000
0.750 0.750 0.750
0.500 0.500 0.500